TlAgS2 (PBE, relaxed); E_form (uncorrected) = -0.009 eV per atom
1.0
-0.0778 5.1638 -4.4857
1.1531 -2.4077 -2.7917
-12.9149 -2.7605 -2.9537
Tl Ag S
4 4 8
direct
0.0873 0.7500 0.8750 Tl
0.5873 0.7500 0.6250 Tl
0.9127 0.2500 0.1250 Tl
0.4127 0.2500 0.3750 Tl
0.4175 0.7500 0.1142 Ag
0.0825 0.2500 0.6142 Ag
0.5825 0.2500 0.8858 Ag
0.9175 0.7500 0.3858 Ag
0.2708 0.2500 0.9938 S
0.8799 0.2500 0.7763 S
0.3799 0.2500 0.7237 S
0.6201 0.7500 0.2763 S
0.7708 0.2500 0.5062 S
0.1201 0.7500 0.2237 S
0.2292 0.7500 0.4938 S
0.7292 0.7500 0.0062 S

=====

InNiPdBr2 (PBE, relaxed); E_form (uncorrected) = 0.778 eV per atom
1.0
-0.3023 -2.2974 -5.0776
5.5349 -0.7186 -0.0043
-0.6011 -4.6422 2.1362
In Ni Pd Br
1 1 1 2
direct
0.0000 0.0000 0.0000 In
0.5000 0.5000 0.5000 Ni
0.0000 0.0000 0.5000 Pd
0.0000 0.5000 0.0000 Br
0.5000 0.0000 0.0000 Br

=====

ScNi2Os (PBE, relaxed); energy of formation from the pure elements = -38 meV/atom
1.0
-1.7611 3.7016 2.2467
-2.8419 3.6885 -0.4115
-3.9334 -1.6398 1.6074
Ni Os Sc
2 1 1
direct
0.4896 0.4896 0.5328 Ni
0.0104 0.0104 0.9672 Ni
0.7500 0.7500 0.7500 Os
0.2500 0.2500 0.2500 Sc

=====

SnPbF3 (PBE, relaxed); E_form (uncorrected) = -1.642 eV per atom
1.0
-2.0164 -2.8957 3.1120
4.0856 -2.2713 0.5337
1.1738 2.9311 3.4880
F Pb Sn
3 1 1
direct
0.0000 0.0000 0.5000 F
0.0000 0.5000 0.0000 F
0.5000 0.0000 0.0000 F
0.5000 0.5000 0.5000 Pb
0.0000 0.0000 0.0000 Sn

=====

Zn12Cu6Au (PBE, relaxed); energy of formation from the pure elements = -75 meV/atom
1.0
-0.4078 -6.5743 0.1731
5.4007 1.9772 4.2088
-1.1852 -1.9501 6.7515
Zn Cu Au
12 6 1
direct
0.4834 0.1561 0.7260 Zn
0.7350 0.5669 0.3770 Zn
0.1120 0.3770 0.0561 Zn
0.8880 0.6230 0.9439 Zn
0.2650 0.4331 0.6230 Zn
0.5166 0.8439 0.2740 Zn
0.1681 0.0561 0.5669 Zn
0.6728 0.8822 0.8439 Zn
0.2094 0.7260 0.1178 Zn
0.8319 0.9439 0.4331 Zn
0.7906 0.2740 0.8822 Zn
0.3272 0.1178 0.1561 Zn
0.4270 0.4757 0.2117 Cu
0.3613 0.7883 0.6874 Cu
0.9513 0.3126 0.4757 Cu
0.5730 0.5243 0.7883 Cu
0.0487 0.6874 0.5243 Cu
0.6387 0.2117 0.3126 Cu
0.0000 0.0000 0.0000 Au

=====

CsMgPb4 (PBE, relaxed); energy of formation from the pure elements = 219 meV/atom
1.0
-3.4965 6.5366 -1.9218
-6.5835 -3.7977 -0.9389
-1.9531 1.3621 8.1863
Mg Pb Cs
2 8 2
direct
0.5000 0.5000 0.0000 Mg
0.0000 0.0000 0.0000 Mg
0.0000 0.0000 0.6757 Pb
0.5000 0.5000 0.3243 Pb
0.6498 0.1498 0.0000 Pb
0.0000 0.0000 0.3243 Pb
0.5000 0.5000 0.6757 Pb
0.8502 0.6498 0.0000 Pb
0.3502 0.8502 0.0000 Pb
0.1498 0.3502 0.0000 Pb
0.5000 0.0000 0.5000 Cs
0.0000 0.5000 0.5000 Cs

=====

RbAlAgF6 (PBE, relaxed); E_form (uncorrected) = -2.597 eV per atom
1.0
-4.1414 0.1547 3.9801
-1.0655 -4.3770 3.1997
3.7769 1.9491 4.0515
Ag F Al Rb
1 6 1 1
direct
0.6653 0.6718 0.4998 Ag
0.3292 0.5929 0.3047 F
0.6057 0.3470 0.6592 F
0.0462 0.3485 0.3406 F
0.5885 0.0488 0.3157 F
0.3640 0.0453 0.6821 F
0.0792 0.5878 0.6982 F
0.3279 0.3449 0.5000 Al
0.9938 0.0131 0.9995 Rb

=====

CuIO2F (PBE, relaxed); E_form (uncorrected) = 0.048 eV per atom
1.0
-0.7343 -0.8798 -3.8759
-3.6607 -1.3852 1.0080
-1.9301 4.6060 -0.6799
O F I Cu
2 1 1 1
direct
0.0000 0.5000 0.0000 O
0.5000 0.0000 0.0000 O
0.0000 0.0000 0.5000 F
0.0000 0.0000 0.0000 I
0.5000 0.5000 0.5000 Cu

=====

K2Ce2SnSe6 (PBE, relaxed); E_form (uncorrected) = -1.369 eV per atom
1.0
7.4536 -0.0418 0.1041
-3.7204 6.4589 0.1041
-1.2949 -2.2259 7.6464
Se Ce K Sn
6 2 2 1
direct
0.7186 0.7186 0.7010 Se
0.5900 0.9388 0.3007 Se
0.0612 0.4100 0.6993 Se
0.9388 0.5900 0.3007 Se
0.2814 0.2814 0.2990 Se
0.4100 0.0612 0.6993 Se
0.3343 0.6657 0.5000 Ce
0.6657 0.3343 0.5000 Ce
0.1618 0.8382 0.0000 K
0.8382 0.1618 0.0000 K
0.0000 0.0000 0.5000 Sn

=====

HgSb2W (PBE, relaxed); E_form (uncorrected) = 0.589 eV per atom
1.0
-0.3555 2.9982 -10.1812
-2.0976 0.2535 -10.4072
-3.5496 3.0380 -9.5365
Hg Sb W
1 2 1
direct
0.7589 0.7589 0.7589 Hg
0.0136 0.0136 0.0136 Sb
0.2298 0.2298 0.2298 Sb
0.4977 0.4977 0.4977 W

=====

InFeAg2 (PBE, relaxed); energy of formation from the pure elements = 281 meV/atom
1.0
-2.2799 -3.8500 3.2607
-0.2704 -5.1779 -1.9414
3.1878 4.2838 1.4627
Ag In Fe
2 1 1
direct
0.7393 0.2393 0.5000 Ag
0.0005 0.0005 0.0000 Ag
0.2600 0.7600 0.5000 In
0.5002 0.5002 0.0000 Fe

=====

The following DFT total energy values (in eV per atom) correspond, in order, to the records above: -3.38; -2.63; -7.32; -4.31; -2.35; -2.66; -4.68; -3.44; -4.91; -4.79; -3.95.